i) CaY2Os: optimized geometry, PBE.

Cell and atoms, written as CIF:
```
data_CaY2Os
_cell_length_a 4.0913
_cell_length_b 4.0913
_cell_length_c 27.2353
_cell_angle_alpha 90.00
_cell_angle_beta 90.00
_cell_angle_gamma 120.00
_space_group_name_H-M_alt 'R -3 m'
_space_group_IT_number 166
_space_group_name_Hall '-R 3 2"'
loop_
_atom_site_label
_atom_site_type_symbol
_atom_site_fract_x
_atom_site_fract_y
_atom_site_fract_z
Ca1 Ca 0.0000 0.0000 0.0000
Y1 Y 0.0000 0.0000 0.2189
Os1 Os 0.0000 0.0000 0.5000
```

The calculation puts the density of states at the Fermi level at 7.18 states/eV per cell.


ii) CaY2Os: optimized geometry, PBE.

Cell and atoms, written as CIF:
```
data_CaY2Os
_cell_length_a 7.2777
_cell_length_b 7.2777
_cell_length_c 7.2777
_cell_angle_alpha 90.00
_cell_angle_beta 90.00
_cell_angle_gamma 90.00
_space_group_name_H-M_alt 'F -4 3 m'
_space_group_IT_number 216
_space_group_name_Hall 'F -4 2 3'
loop_
_atom_site_label
_atom_site_type_symbol
_atom_site_fract_x
_atom_site_fract_y
_atom_site_fract_z
Ca1 Ca 0.0000 0.0000 0.0000
Y1 Y 0.0000 0.0000 0.5000
Y2 Y 0.2500 0.2500 0.7500
Os1 Os 0.2500 0.2500 0.2500
```

The calculation puts the density of states at the Fermi level at 14.59 states/eV per cell.


Most stable: i)


i) CaZn3Os: optimized geometry, PBE.

Cell and atoms, written as CIF:
```
data_CaZn3Os
_cell_length_a 5.1866
_cell_length_b 5.1866
_cell_length_c 5.1866
_cell_angle_alpha 90.00
_cell_angle_beta 90.00
_cell_angle_gamma 90.00
_space_group_name_H-M_alt 'P m -3 m'
_space_group_IT_number 221
_space_group_name_Hall '-P 4 2 3'
loop_
_atom_site_label
_atom_site_type_symbol
_atom_site_fract_x
_atom_site_fract_y
_atom_site_fract_z
Ca1 Ca 0.0000 0.0000 0.0000
Zn1 Zn 0.0000 0.0000 0.5000
Os1 Os 0.5000 0.5000 0.5000
```

The calculation puts the density of states at the Fermi level at 4.25 states/eV per cell.


ii) CaZn3Os: optimized geometry, PBE.

Cell and atoms, written as CIF:
```
data_CaZn3Os
_cell_length_a 4.8163
_cell_length_b 4.8163
_cell_length_c 4.8163
_cell_angle_alpha 90.00
_cell_angle_beta 90.00
_cell_angle_gamma 90.00
_space_group_name_H-M_alt 'P m -3 m'
_space_group_IT_number 221
_space_group_name_Hall '-P 4 2 3'
loop_
_atom_site_label
_atom_site_type_symbol
_atom_site_fract_x
_atom_site_fract_y
_atom_site_fract_z
Ca1 Ca 0.0000 0.0000 0.0000
Zn1 Zn 0.0000 0.5000 0.5000
Os1 Os 0.5000 0.5000 0.5000
```

The calculation puts the density of states at the Fermi level at 1.95 states/eV per cell.


Most stable: ii)


i) Ca2ZrOs: optimized geometry, PBE.

Cell and atoms, written as CIF:
```
data_Ca2ZrOs
_cell_length_a 8.6752
_cell_length_b 3.9040
_cell_length_c 7.7700
_cell_angle_alpha 90.00
_cell_angle_beta 108.68
_cell_angle_gamma 90.00
_space_group_name_H-M_alt 'C 1 m 1'
_space_group_IT_number 8
loop_
_space_group_symop_operation_xyz
'x,y,z'
'x,-y,z'
'x+1/2,y+1/2,z'
'x+1/2,-y+1/2,z'
loop_
_atom_site_label
_atom_site_type_symbol
_atom_site_fract_x
_atom_site_fract_y
_atom_site_fract_z
Ca1 Ca 0.0000 0.0000 0.0000
Ca2 Ca 0.1665 0.0000 0.5914
Zr1 Zr 0.2946 0.5000 0.2973
Os1 Os 0.4893 0.0000 0.2926
```

The calculation puts the density of states at the Fermi level at 2.97 states/eV per cell.


ii) Ca2ZrOs: optimized geometry, PBE.

Cell and atoms, written as CIF:
```
data_Ca2ZrOs
_cell_length_a 3.2144
_cell_length_b 3.2144
_cell_length_c 31.7470
_cell_angle_alpha 90.00
_cell_angle_beta 90.00
_cell_angle_gamma 120.00
_space_group_name_H-M_alt 'R -3 m'
_space_group_IT_number 166
_space_group_name_Hall '-R 3 2"'
loop_
_atom_site_label
_atom_site_type_symbol
_atom_site_fract_x
_atom_site_fract_y
_atom_site_fract_z
Ca1 Ca 0.0000 0.0000 0.2364
Zr1 Zr 0.0000 0.0000 0.0000
Os1 Os 0.0000 0.0000 0.5000
```

The calculation puts the density of states at the Fermi level at 14.04 states/eV per cell.


iii) Ca2ZrOs: optimized geometry, PBE.

Cell and atoms, written as CIF:
```
data_Ca2ZrOs
_cell_length_a 4.1200
_cell_length_b 4.1302
_cell_length_c 5.2545
_cell_angle_alpha 90.00
_cell_angle_beta 90.00
_cell_angle_gamma 90.00
_space_group_name_H-M_alt 'P m m m'
_space_group_IT_number 47
loop_
_space_group_symop_operation_xyz
'x,y,z'
'-x,-y,-z'
'-x,-y,z'
'x,y,-z'
'x,-y,-z'
'-x,y,z'
'-x,y,-z'
'x,-y,z'
loop_
_atom_site_label
_atom_site_type_symbol
_atom_site_fract_x
_atom_site_fract_y
_atom_site_fract_z
Ca1 Ca 0.0000 0.0000 0.0000
Ca2 Ca 0.5000 0.5000 0.0000
Zr1 Zr 0.0000 0.5000 0.5000
Os1 Os 0.5000 0.0000 0.5000
```

The calculation puts the density of states at the Fermi level at 3.23 states/eV per cell.


iv) Ca2ZrOs: optimized geometry, PBE.

Cell and atoms, written as CIF:
```
data_Ca2ZrOs
_cell_length_a 3.9062
_cell_length_b 3.9062
_cell_length_c 6.1702
_cell_angle_alpha 90.00
_cell_angle_beta 90.00
_cell_angle_gamma 90.00
_space_group_name_H-M_alt 'P 4/m m m'
_space_group_IT_number 123
_space_group_name_Hall '-P 4 2'
loop_
_atom_site_label
_atom_site_type_symbol
_atom_site_fract_x
_atom_site_fract_y
_atom_site_fract_z
Ca1 Ca 0.0000 0.0000 0.2217
Zr1 Zr 0.5000 0.5000 0.5000
Os1 Os 0.5000 0.5000 0.0000
```

The calculation puts the density of states at the Fermi level at 6.20 states/eV per cell.


Most stable: i)


i) CaZrOs: optimized geometry, PBE.

Cell and atoms, written as CIF:
```
data_CaZrOs
_cell_length_a 4.6459
_cell_length_b 4.6459
_cell_length_c 3.3345
_cell_angle_alpha 90.00
_cell_angle_beta 90.00
_cell_angle_gamma 120.00
_space_group_name_H-M_alt 'P 3 m 1'
_space_group_IT_number 156
loop_
_space_group_symop_operation_xyz
'x,y,z'
'-y,x-y,z'
'-x+y,-x,z'
'-y,-x,z'
'-x+y,y,z'
'x,x-y,z'
loop_
_atom_site_label
_atom_site_type_symbol
_atom_site_fract_x
_atom_site_fract_y
_atom_site_fract_z
Ca1 Ca 0.0000 0.0000 0.0000
Zr1 Zr 0.3333 0.6667 0.5750
Os1 Os 0.6667 0.3333 0.3444
```

The calculation puts the density of states at the Fermi level at 2.86 states/eV per cell.


ii) CaZrOs: optimized geometry, PBE.

Cell and atoms, written as CIF:
```
data_CaZrOs
_cell_length_a 3.3205
_cell_length_b 3.3205
_cell_length_c 12.9561
_cell_angle_alpha 90.00
_cell_angle_beta 90.00
_cell_angle_gamma 90.00
_space_group_name_H-M_alt 'P 4 m m'
_space_group_IT_number 99
loop_
_space_group_symop_operation_xyz
'x,y,z'
'-y,x,z'
'-x,-y,z'
'y,-x,z'
'-x,y,z'
'y,x,z'
'x,-y,z'
'-y,-x,z'
loop_
_atom_site_label
_atom_site_type_symbol
_atom_site_fract_x
_atom_site_fract_y
_atom_site_fract_z
Ca1 Ca 0.0000 0.0000 0.0000
Ca2 Ca 0.5000 0.5000 0.2588
Zr1 Zr 0.5000 0.5000 0.5183
Zr2 Zr 0.5000 0.5000 0.7738
Os1 Os 0.0000 0.0000 0.4102
Os2 Os 0.0000 0.0000 0.6611
```

The calculation puts the density of states at the Fermi level at 3.73 states/eV per cell.


iii) CaZrOs: optimized geometry, PBE.

Cell and atoms, written as CIF:
```
data_CaZrOs
_cell_length_a 3.6881
_cell_length_b 3.6881
_cell_length_c 6.6616
_cell_angle_alpha 90.00
_cell_angle_beta 90.00
_cell_angle_gamma 120.00
_space_group_name_H-M_alt 'P 3 m 1'
_space_group_IT_number 156
loop_
_space_group_symop_operation_xyz
'x,y,z'
'-y,x-y,z'
'-x+y,-x,z'
'-y,-x,z'
'-x+y,y,z'
'x,x-y,z'
loop_
_atom_site_label
_atom_site_type_symbol
_atom_site_fract_x
_atom_site_fract_y
_atom_site_fract_z
Ca1 Ca 0.0000 0.0000 0.0000
Zr1 Zr 0.6667 0.3333 0.5263
Os1 Os 0.3333 0.6667 0.3081
```

The calculation puts the density of states at the Fermi level at 1.85 states/eV per cell.


Most stable: ii)